Entry from Alexandria via LeMat-Bulk: CuHgMoF6 after structural relaxation (PBE with a Hubbard U).

ρ = 5.65 Mg/m³
Total moment = 1.0 μB/f.u.
VASP energy = -4.250 eV per atom

Cell and atoms, written as extended XYZ:
```
18
Lattice="5.843 0.000 0.000 -2.922 5.061 0.000 0.000 0.000 9.420" Properties=species:S:1:pos:R:3 pbc="T T T"
Cu 0.000 0.000 0.000
Cu 0.000 0.000 4.710
Hg 0.000 3.374 2.355
Hg 2.922 1.687 7.065
Mo 0.000 3.374 7.065
Mo 2.922 1.687 2.355
F 0.000 1.829 5.816
F 0.000 1.829 8.314
F -1.338 4.146 5.816
F -1.338 4.146 8.314
F 1.584 0.915 1.106
F 1.584 0.915 3.604
F 1.338 4.146 5.816
F 1.338 4.146 8.314
F 4.259 0.915 1.106
F 4.259 0.915 3.604
F 2.922 3.231 1.106
F 2.922 3.231 3.604
```